Record 1
Cd2PRu, optimized geometry, DFT GGA-PBE; N(E_F) = 0.5790 states/eV/atom; E_form = 1.405 eV per formula unit; total magnetization = 0.00 μB per cell
1.0
3.859 0.000 0.000
0.000 3.859 0.000
0.000 0.000 9.122
Cd P Ru
4 2 2
direct
0.000 0.500 0.250
0.000 0.500 0.750
0.500 0.000 0.250
0.500 0.000 0.750
0.000 0.000 0.000
0.500 0.500 0.500
0.000 0.000 0.500
0.500 0.500 0.000


Record 2
CdPRu4, optimized geometry, DFT GGA-PBE; N(E_F) = 1.1495 states/eV/atom; E_form = 4.241 eV per formula unit; total magnetization = 2.57 μB per cell
1.0
0.000 3.654 3.654
3.654 0.000 3.654
3.654 3.654 0.000
Cd P Ru
1 1 4
direct
0.000 0.000 0.000
0.750 0.750 0.750
0.376 0.376 0.376
0.376 0.376 0.873
0.376 0.873 0.376
0.873 0.376 0.376


Record 3
SrCdPRu, optimized geometry, DFT GGA-PBE; N(E_F) = 0.4310 states/eV/atom; E_form = -2.667 eV per formula unit; total magnetization = 0.00 μB per cell
1.0
4.069 0.000 0.000
0.000 4.069 0.000
0.000 0.000 11.539
Sr Cd P Ru
2 2 2 2
direct
0.250 0.250 0.231
0.750 0.750 0.769
0.250 0.750 0.500
0.750 0.250 0.500
0.250 0.250 0.898
0.750 0.750 0.102
0.250 0.750 0.000
0.750 0.250 0.000


Record 4
CdTe2PRu, optimized geometry, DFT GGA-PBE; N(E_F) = 1.0887 states/eV/atom; formation energy without anion corrections = 0.275 eV per atom; total magnetization = 0.00 μB per cell
1.0
5.501 0.000 0.000
0.000 5.501 0.000
0.000 0.000 4.319
Cd Te P Ru
1 2 1 1
direct
0.000 0.000 0.000
0.000 0.500 0.500
0.500 0.000 0.500
0.500 0.500 0.000
0.500 0.500 0.500


Record 5
ZrCd2PRu, optimized geometry, DFT GGA-PBE; N(E_F) = 0.6237 states/eV/atom; E_form = 2.278 eV per formula unit; total magnetization = 0.00 μB per cell
1.0
4.938 0.000 0.000
0.000 4.938 0.000
0.000 0.000 4.342
Zr Cd P Ru
1 2 1 1
direct
0.000 0.000 0.000
0.000 0.500 0.500
0.500 0.000 0.500
0.500 0.500 0.500
0.500 0.500 0.000


Record 6
CdPS3, optimized geometry, DFT GGA-PBE; N(E_F) = 0.0000 states/eV/atom; formation energy without anion corrections = -0.409 eV per atom; total magnetization = 0.00 μB per cell
1.0
6.290 0.000 0.000
3.145 5.448 0.000
2.061 0.040 7.190
Cd P S
2 2 6
direct
0.167 0.166 0.000
0.833 0.834 0.000
0.449 0.499 0.157
0.551 0.501 0.843
0.112 0.809 0.237
0.265 0.501 0.763
0.424 0.187 0.237
0.576 0.813 0.763
0.735 0.499 0.237
0.888 0.191 0.763


Record 7
CdP2S6, optimized geometry, DFT GGA-PBE; N(E_F) = 0.4242 states/eV/atom; formation energy without anion corrections = -0.018 eV per atom; total magnetization = 0.00 μB per cell
1.0
6.815 0.000 0.000
-3.408 5.902 0.000
0.000 0.000 7.552
Cd P S
1 2 6
direct
0.000 0.000 0.000
0.333 0.667 0.772
0.667 0.333 0.228
0.168 0.336 0.747
0.168 0.832 0.747
0.336 0.168 0.253
0.664 0.832 0.747
0.832 0.168 0.253
0.832 0.664 0.253


Record 8
CdPS3, optimized geometry, DFT GGA-PBE; N(E_F) = 1.4029 states/eV/atom; formation energy without anion corrections = 1.192 eV per atom; total magnetization = 0.00 μB per cell
1.0
4.895 0.000 0.000
0.000 4.895 0.000
0.000 0.000 4.895
Cd P S
1 1 3
direct
0.000 0.000 0.000
0.500 0.500 0.500
0.000 0.000 0.500
0.000 0.500 0.000
0.500 0.000 0.000


Record 9
CdP3S, optimized geometry, DFT GGA-PBE; N(E_F) = 0.9353 states/eV/atom; formation energy without anion corrections = 0.854 eV per atom; total magnetization = 0.00 μB per cell
1.0
4.580 0.000 0.000
0.000 4.580 0.000
0.000 0.000 4.580
Cd P S
1 3 1
direct
0.000 0.000 0.000
0.000 0.500 0.500
0.500 0.000 0.500
0.500 0.500 0.000
0.500 0.500 0.500


Record 10
CdPS3, optimized geometry, DFT GGA-PBE; N(E_F) = 0.0000 states/eV/atom; formation energy without anion corrections = -0.365 eV per atom; total magnetization = 0.00 μB per cell
1.0
6.248 0.000 0.000
0.000 7.377 0.000
-6.044 0.000 10.019
Cd P S
4 4 12
direct
0.132 0.040 0.230
0.132 0.460 0.730
0.868 0.540 0.270
0.868 0.960 0.770
0.487 0.124 0.055
0.487 0.376 0.555
0.513 0.624 0.445
0.513 0.876 0.945
0.148 0.239 0.931
0.148 0.261 0.431
0.223 0.719 0.923
0.223 0.781 0.423
0.453 0.541 0.265
0.453 0.959 0.765
0.547 0.041 0.235
0.547 0.459 0.735
0.777 0.219 0.577
0.777 0.281 0.077
0.852 0.739 0.569
0.852 0.761 0.069


Record 11
Cd2PS4, optimized geometry, DFT GGA-PBE; N(E_F) = 0.6270 states/eV/atom; formation energy without anion corrections = -0.253 eV per atom; total magnetization = 1.02 μB per cell
1.0
5.940 0.000 0.000
0.000 5.940 0.000
0.000 0.000 10.098
Cd P S
4 2 8
direct
0.000 0.500 0.250
0.000 0.500 0.750
0.500 0.000 0.250
0.500 0.000 0.750
0.000 0.000 0.000
0.500 0.500 0.500
0.232 0.232 0.103
0.232 0.768 0.897
0.268 0.268 0.603
0.268 0.732 0.397
0.732 0.268 0.397
0.732 0.732 0.603
0.768 0.232 0.897
0.768 0.768 0.103


Record 12
CdP2S6, optimized geometry, DFT GGA-PBE; N(E_F) = 0.0000 states/eV/atom; formation energy without anion corrections = -0.236 eV per atom; total magnetization = 0.00 μB per cell
1.0
6.500 -6.526 0.000
6.500 6.526 0.000
-2.519 0.000 5.200
Cd P S
2 4 12
direct
0.223 0.777 0.750
0.777 0.223 0.250
0.196 0.358 0.338
0.358 0.196 0.838
0.642 0.804 0.162
0.804 0.642 0.662
0.029 0.190 0.117
0.151 0.567 0.315
0.190 0.029 0.617
0.288 0.401 0.744
0.401 0.288 0.244
0.433 0.849 0.185
0.567 0.151 0.815
0.599 0.712 0.756
0.712 0.599 0.256
0.810 0.971 0.383
0.849 0.433 0.685
0.971 0.810 0.883